Model a:
Computed, not measured: crystalline ZnRu2Br at its relaxed geometry at the PBE-GGA level of DFT.

Computed properties:
As for the space-group type: F-43m (216).

a = 4.5035 Å, b = 4.5035 Å, c = 4.5035 Å
α = 60.00°, β = 60.00°, γ = 60.00°
With the nearest neighbours (Å) after each atom.
Element x y z (fractional)
Zn: 0.7500 0.7500 0.7500  4 Ru 2.76, 4 Br 2.76
Br: 0.5000 0.5000 0.5000  4 Zn 2.76, 4 Ru 2.76
Ru: 0.2500 0.2500 0.2500  4 Br 2.76, 4 Ru 2.76
Ru: 0.0000 0.0000 0.0000  4 Ru 2.76, 4 Zn 2.76

Model b:
Computed, not measured: crystalline ZnRu2Br at its relaxed geometry at the PBE-GGA level of DFT.

Computed properties:
As for the space-group type: I-42d (122).

a = 5.7456 Å, b = 5.7456 Å, c = 6.5733 Å
α = 64.08°, β = 64.08°, γ = 90.00°
With the nearest neighbours (Å) after each atom.
Element x y z (fractional)
Ru: 0.6399 0.1250 0.2500  2 Br 2.36, 2 Zn 2.46
Ru: 0.8750 0.8899 0.7500  2 Br 2.36, 2 Zn 2.46
Ru: 0.1101 0.6250 0.2500  2 Br 2.36, 2 Zn 2.46
Ru: 0.3750 0.3601 0.7500  2 Br 2.36, 2 Zn 2.46
Br: 0.0000 0.0000 0.0000  4 Ru 2.36
Br: 0.7500 0.2500 0.5000  4 Ru 2.36
Zn: 0.5000 0.5000 0.0000  4 Ru 2.46
Zn: 0.2500 0.7500 0.5000  4 Ru 2.46

Model c:
Computed, not measured: crystalline ZnRu2Br at its relaxed geometry at the PBE-GGA level of DFT.

Computed properties:
As for the space-group type: Pm (6).

a = 2.9560 Å, b = 2.9594 Å, c = 8.4851 Å
α = 69.72°, β = 90.00°, γ = 90.00°
With the nearest neighbours (Å) after each atom.
Element x y z (fractional)
Ru: 0.5000 0.1379 0.2380  4 Ru 2.61, 4 Zn 2.66
Ru: 0.0000 0.8333 0.0411  2 Br 2.58, 4 Ru 2.61
Br: 0.5000 0.0966 0.7760  2 Ru 2.58
Zn: 0.0000 0.4322 0.4449  4 Ru 2.66, 4 Zn 2.96

Model d:
Computed, not measured: crystalline ZnRu2Br at its relaxed geometry at the PBE-GGA level of DFT.

Computed properties:
As for the space-group type: Fm-3m (225).

a = 4.3993 Å, b = 4.3993 Å, c = 4.3993 Å
α = 60.00°, β = 60.00°, γ = 60.00°
With the nearest neighbours (Å) after each atom.
Element x y z (fractional)
Br: 0.5000 0.5000 0.5000  8 Ru 2.69
Ru: 0.7500 0.7500 0.7500  4 Br 2.69, 4 Zn 2.69
Ru: 0.2500 0.2500 0.2500  4 Br 2.69, 4 Zn 2.69
Zn: 0.0000 0.0000 0.0000  8 Ru 2.69

Name the most stable of them. model c.

Model a:
Computed, not measured: crystalline ZnRu2Br at its relaxed geometry at the PBE-GGA level of DFT.

Computed properties:
As for the space-group type: Imm2 (44).

a = 5.5666 Å, b = 5.5666 Å, c = 5.5666 Å
α = 149.29°, β = 133.45°, γ = 56.81°
With the nearest neighbours (Å) after each atom.
Element x y z (fractional)
Br: 0.2238 0.7238 0.5000  6 Ru 2.61-2.70
Ru: 0.0033 0.0033 0.0000  2 Br 2.61, 4 Zn 2.65, 2 Ru 2.67
Ru: 0.7757 0.2757 0.5000  4 Ru 2.67-2.95, 4 Br 2.70
Zn: 0.4973 0.4973 0.0000  4 Ru 2.65, 2 Zn 2.95

Model b:
Computed, not measured: crystalline ZnRu2Br at its relaxed geometry at the PBE-GGA level of DFT.

Computed properties:
As for the space-group type: P4/mmm (123).

a = 3.1108 Å, b = 3.1108 Å, c = 6.2056 Å
α = 90.00°, β = 90.00°, γ = 90.00°
With the nearest neighbours (Å) after each atom.
Element x y z (fractional)
Br: 0.5000 0.5000 0.7500  8 Ru 2.74
Zn: 0.5000 0.5000 0.2500  8 Ru 2.65
Ru: 0.0000 0.0000 0.4868  4 Zn 2.65, 4 Br 2.74, 1 Ru 2.94
Ru: 0.0000 0.0000 0.0132  4 Zn 2.65, 4 Br 2.74, 1 Ru 2.94

Name the most stable of them. model b.

Model a:
Computed, not measured: crystalline ZnRuBr3 at its relaxed geometry at the PBE-GGA level of DFT.

Computed properties:
As for the space-group type: Pm-3m (221).

a = 5.1480 Å, b = 5.1480 Å, c = 5.1480 Å
α = 90.00°, β = 90.00°, γ = 90.00°
With the nearest neighbours (Å) after each atom.
Element x y z (fractional)
Zn: 0.0000 0.0000 0.0000  6 Br 2.57
Br: 0.0000 0.0000 0.5000  2 Zn 2.57
Br: 0.5000 0.0000 0.0000  2 Zn 2.57
Br: 0.0000 0.5000 0.0000  2 Zn 2.57
Ru: 0.5000 0.5000 0.5000  12 Br 3.64

Model b:
Computed, not measured: crystalline ZnRuBr3 at its relaxed geometry at the PBE-GGA level of DFT.

Computed properties:
As for the space-group type: Pm-3m (221).

a = 5.1163 Å, b = 5.1163 Å, c = 5.1163 Å
α = 90.00°, β = 90.00°, γ = 90.00°
With the nearest neighbours (Å) after each atom.
Element x y z (fractional)
Br: 0.0000 0.5000 0.0000  2 Ru 2.56
Br: 0.0000 0.0000 0.5000  2 Ru 2.56
Br: 0.5000 0.0000 0.0000  2 Ru 2.56
Ru: 0.0000 0.0000 0.0000  6 Br 2.56
Zn: 0.5000 0.5000 0.5000  12 Br 3.62

Name the most stable of them. model b.

Model a:
Computed, not measured: crystalline Zn2Ru2Br at its relaxed geometry at the PBE-GGA level of DFT.

Computed properties:
As for the space-group type: I4/mmm (139).

a = 3.5563 Å, b = 3.5563 Å, c = 8.0048 Å
α = 77.17°, β = 77.17°, γ = 90.00°
With the nearest neighbours (Å) after each atom.
Element x y z (fractional)
Zn: 0.3815 0.3815 0.2371  4 Ru 2.67
Zn: 0.6185 0.6185 0.7629  4 Ru 2.67
Ru: 0.2500 0.7500 0.5000  4 Ru 2.51, 4 Zn 2.67
Ru: 0.7500 0.2500 0.5000  4 Ru 2.51, 4 Zn 2.67
Br: 0.0000 0.0000 0.0000  8 Zn 3.09

Model b:
Computed, not measured: crystalline Zn2Ru2Br at its relaxed geometry at the PBE-GGA level of DFT.

Computed properties:
As for the space-group type: P4/mbm (127).

a = 8.0501 Å, b = 8.0501 Å, c = 2.6845 Å
α = 90.00°, β = 90.00°, γ = 90.00°
With the nearest neighbours (Å) after each atom.
Element x y z (fractional)
Br: 0.5000 0.5000 0.0000  2 Br 2.68, 4 Zn 2.96
Br: 0.0000 0.0000 0.0000  2 Br 2.68, 4 Zn 2.96
Ru: 0.1093 0.6093 0.5000  3 Ru 2.49-2.68, 6 Zn 2.74-2.76
Ru: 0.8907 0.3907 0.5000  3 Ru 2.49-2.68, 6 Zn 2.74-2.76
Ru: 0.3907 0.1093 0.5000  3 Ru 2.49-2.68, 6 Zn 2.74-2.76
Ru: 0.6093 0.8907 0.5000  3 Ru 2.49-2.68, 6 Zn 2.74-2.76
Zn: 0.1792 0.3208 0.0000  2 Zn 2.68, 6 Ru 2.74-2.76, 2 Br 2.96
Zn: 0.6792 0.1792 0.0000  2 Zn 2.68, 6 Ru 2.74-2.76, 2 Br 2.96
Zn: 0.3208 0.8208 0.0000  2 Zn 2.68, 6 Ru 2.74-2.76, 2 Br 2.96
Zn: 0.8208 0.6792 0.0000  2 Zn 2.68, 6 Ru 2.74-2.76, 2 Br 2.96

Name the most stable of them. model a.